Record 1
The following is a DFT calculation (SCAN) of TaAl2Si2 at its PBEsol-relaxed geometry.

```
TaAl2Si2
1.0
6.624 0.000 0.000
0.000 6.624 0.000
0.000 0.000 3.516
Ta Al Si
2 4 4
direct
0.000 0.000 0.000
0.500 0.500 0.000
0.168 0.332 0.500
0.332 0.832 0.500
0.668 0.168 0.500
0.832 0.668 0.500
0.132 0.632 0.000
0.368 0.132 0.000
0.632 0.868 0.000
0.868 0.368 0.000
```

Properties
M_tot = 0.000 μB/atom
E_tot = -204.5 eV per cell
Raw formation energy = -0.028 eV/atom

Record 2
The following is a DFT calculation (SCAN) of Te2MoPbI at its PBEsol-relaxed geometry.

```
Te2MoPbI
1.0
5.734 0.000 0.000
0.000 5.734 0.000
0.000 0.000 5.888
Te Mo Pb I
2 1 1 1
direct
0.000 0.500 0.000
0.500 0.000 0.000
0.000 0.000 0.500
0.500 0.500 0.000
0.500 0.500 0.500
```

Properties
M_tot = 0.795 μB/atom
E_tot = -216.6 eV per cell
Raw formation energy = 1.065 eV/atom

Record 3
The following is a DFT calculation (SCAN) of ZrSc2MnB at its PBEsol-relaxed geometry.

```
ZrSc2MnB
1.0
5.037 0.000 0.000
0.000 5.037 0.000
0.000 0.000 4.296
Zr Sc Mn B
1 2 1 1
direct
0.000 0.000 0.000
0.000 0.500 0.000
0.500 0.000 0.000
0.500 0.500 0.500
0.000 0.000 0.500
```

Properties
M_tot = 0.811 μB/atom
E_tot = -78.7 eV per cell
DFT formation energy = 6.119 eV per formula unit

Record 4
The following is a DFT calculation (SCAN) of Sc2SnWBr at its PBEsol-relaxed geometry.

```
Sc2SnWBr
1.0
5.387 0.000 0.000
0.000 5.387 0.000
0.000 0.000 5.397
Sc Sn W Br
2 1 1 1
direct
0.000 0.500 0.000
0.500 0.000 0.000
0.000 0.000 0.000
0.500 0.500 0.500
0.000 0.000 0.500
```

Properties
M_tot = 1.197 μB/atom
E_tot = -146.1 eV per cell
Raw formation energy = 1.488 eV/atom